This record from Alexandria via LeMat-Bulk describes a relaxed Ni6O7 crystal. The functional is GGA-PBEsol.

Summary:
Raw formation energy = -641 meV/atom
DFT total energy = -6.31 eV per atom
DOS(E_F) = 6.44 states/eV/f.u.
Total magnetic moment = 3.28 μB/f.u.
Space-group type = No. 2

Cell lengths 4.991, 5.719, 8.662 Å; angles 89.62, 84.24, 72.78 degrees
Element x y z (fractional)
Ni (0.000, 0.000, 0.000)
Ni (0.000, 0.500, 0.000)
Ni (0.142, 0.210, 0.719)
Ni (0.270, 0.934, 0.433)
Ni (0.284, 0.429, 0.432)
Ni (0.417, 0.149, 0.149)
Ni (0.437, 0.637, 0.147)
Ni (0.563, 0.363, 0.853)
Ni (0.583, 0.851, 0.851)
Ni (0.716, 0.571, 0.568)
Ni (0.730, 0.066, 0.567)
Ni (0.858, 0.790, 0.281)
O (0.008, 0.240, 0.516)
O (0.153, 0.948, 0.197)
O (0.157, 0.479, 0.210)
O (0.298, 0.183, 0.925)
O (0.302, 0.674, 0.942)
O (0.466, 0.365, 0.638)
O (0.471, 0.900, 0.641)
O (0.529, 0.100, 0.359)
O (0.534, 0.635, 0.362)
O (0.698, 0.326, 0.058)
O (0.702, 0.817, 0.075)
O (0.843, 0.521, 0.790)
O (0.847, 0.052, 0.803)
O (0.992, 0.760, 0.484)